No. 1
A plane-wave DFT calculation with PBE was carried out for a relaxed structure of Mg2Sc. Values from VASP.

E = -38.37 eV per cell

```
&SYSTEM
  ibrav = 0, nat = 12, ntyp = 2
/
ATOMIC_SPECIES
Mg 24.30 Mg.upf
Sc 44.96 Sc.upf
ATOMIC_POSITIONS angstrom
Mg -1.4892 -1.7233 -0.2101
Mg -2.1379 2.2289 -3.9075
Mg -1.4499 2.7768 -15.2385
Sc -2.2779 4.3626 -23.9406
Mg -1.0331 1.9786 -10.8581
Sc -1.9014 -0.9339 -4.5420
Sc -2.3117 -0.1482 -8.8540
Mg -2.7238 0.6412 -13.1859
Mg -1.8658 3.5732 -19.6087
Sc -0.2051 0.3929 -2.1560
Mg -2.5547 3.0271 -8.2879
Mg -0.6173 1.1823 -6.4879
CELL_PARAMETERS angstrom
-1.4813 5.5467 -12.4480
-1.0018 -0.7913 -13.6486
-1.9697 -2.6685 13.3009
```



No. 2
A plane-wave DFT calculation with PBE was carried out for a relaxed structure of Ce2BeGa4Pd3. Values from VASP.

E = -49.50 eV per cell

```
&SYSTEM
  ibrav = 0, nat = 10, ntyp = 4
/
ATOMIC_SPECIES
Pd 106.42 Pd.upf
Ce 140.12 Ce.upf
Ga 69.72 Ga.upf
Be 9.01 Be.upf
ATOMIC_POSITIONS angstrom
Pd 2.1171 0.0000 9.0070
Ce 2.1171 0.0000 2.6604
Ga 0.0000 2.1171 3.9199
Ce 0.0000 2.1171 7.7755
Pd 0.0000 2.1171 1.4289
Be 2.1171 2.1171 5.2179
Ga 0.0000 0.0000 0.0000
Ga 2.1171 0.0000 6.5160
Ga 2.1171 2.1171 0.0000
Pd 0.0000 0.0000 5.2179
CELL_PARAMETERS angstrom
4.2341 0.0000 0.0000
0.0000 4.2341 0.0000
0.0000 0.0000 10.4359
```



No. 3
A plane-wave DFT calculation with PBE was carried out for a relaxed structure of Al3Fe. Values from VASP.

E = -83.56 eV per cell

```
&SYSTEM
  ibrav = 0, nat = 16, ntyp = 2
/
ATOMIC_SPECIES
Al 26.98 Al.upf
Fe 55.84 Fe.upf
ATOMIC_POSITIONS angstrom
Al 0.4513 2.2128 0.4496
Al 2.7668 1.1289 4.2056
Al 1.8642 5.5545 0.4496
Al 1.8642 5.5545 3.3064
Al 2.7668 1.1289 7.0624
Fe 1.9145 0.9101 1.8780
Al 4.2022 6.5676 1.8780
Fe 0.4010 4.2518 1.8780
Fe 4.2300 2.4316 5.6340
Al 0.4288 0.1158 5.6340
Al 0.4513 2.2128 3.3064
Al 1.8867 3.4575 5.6340
Al 2.7443 3.2259 1.8780
Al 4.1797 4.4706 4.2056
Al 4.1797 4.4706 7.0624
Fe 2.7165 5.7733 5.6340
CELL_PARAMETERS angstrom
4.6310 0.0000 0.0000
0.0000 6.6834 0.0000
0.0000 0.0000 7.5120
```